Entry 1:
Compound: Ho4Tm3Mg
Source: Alexandria via LeMat-Bulk
Functional: PBE-GGA
Structure: relaxed

Electronic total energy, eV/atom: -3.923
Formation energy from the elements, eV/f.u.: 1.93
Volume, Å³/f.u.: 245.12
Distance to the lowest polymorph of the same formula, eV per formula unit: 0.00

Lattice parameters (Å, degrees): 3.3577 5.7925 12.7737 95.53 97.55 90.00
Last column: nearest neighbours and their distance in Å.
Fractional coordinates of all 8 atoms:
1 Mg 0.5000 0.0000 0.0000  4 Ho 3.19, 4 Tm 3.35, 2 Mg 3.36
2 Ho 0.1019 0.1969 0.2037  3 Tm 3.13-3.26, 2 Mg 3.19, 4 Ho 3.36-3.37
3 Ho 0.7180 0.2377 0.4359  1 Tm 3.32, 6 Ho 3.36-3.71
4 Ho 0.8981 0.8031 0.7963  3 Tm 3.13-3.26, 2 Mg 3.19, 4 Ho 3.36-3.37
5 Ho 0.2820 0.7623 0.5641  1 Tm 3.32, 6 Ho 3.36-3.71
6 Tm 0.1503 0.7150 0.3006  3 Ho 3.13-3.32, 2 Tm 3.36
7 Tm 0.0000 0.5000 0.0000  2 Ho 3.26, 4 Mg 3.35, 2 Tm 3.36
8 Tm 0.8497 0.2850 0.6994  3 Ho 3.13-3.32, 2 Tm 3.36



Entry 2:
Compound: Ga2GeHRh
Source: Alexandria via LeMat-Bulk
Functional: PBE-GGA
Structure: relaxed

Electronic total energy, eV/atom: -3.325
Volume, Å³/f.u.: 115.68

Lattice parameters (Å, degrees): 5.0013 4.6249 5.0013 90.00 90.00 90.00
Last column: nearest neighbours and their distance in Å.
Fractional coordinates of all 5 atoms:
1 H 0.5000 0.5000 0.5000  8 Ga 3.41, 4 Rh 3.54
2 Ga 0.5000 0.0000 0.0000  2 Ge 2.50
3 Ga 0.0000 0.0000 0.5000  2 Ge 2.50
4 Ge 0.0000 0.0000 0.0000  2 Rh 2.31, 4 Ga 2.50
5 Rh 0.0000 0.5000 0.0000  2 Ge 2.31



> Which formula does entry 2 have?

Ga2GeHRh



Repeat the first record exactly.
Compound: Ho4Tm3Mg
Source: Alexandria via LeMat-Bulk
Functional: PBE-GGA
Structure: relaxed

Electronic total energy, eV/atom: -3.923
Formation energy from the elements, eV/f.u.: 1.93
Volume, Å³/f.u.: 245.12
Distance to the lowest polymorph of the same formula, eV per formula unit: 0.00

Lattice parameters (Å, degrees): 3.3577 5.7925 12.7737 95.53 97.55 90.00
Last column: nearest neighbours and their distance in Å.
Fractional coordinates of all 8 atoms:
1 Mg 0.5000 0.0000 0.0000  4 Ho 3.19, 4 Tm 3.35, 2 Mg 3.36
2 Ho 0.1019 0.1969 0.2037  3 Tm 3.13-3.26, 2 Mg 3.19, 4 Ho 3.36-3.37
3 Ho 0.7180 0.2377 0.4359  1 Tm 3.32, 6 Ho 3.36-3.71
4 Ho 0.8981 0.8031 0.7963  3 Tm 3.13-3.26, 2 Mg 3.19, 4 Ho 3.36-3.37
5 Ho 0.2820 0.7623 0.5641  1 Tm 3.32, 6 Ho 3.36-3.71
6 Tm 0.1503 0.7150 0.3006  3 Ho 3.13-3.32, 2 Tm 3.36
7 Tm 0.0000 0.5000 0.0000  2 Ho 3.26, 4 Mg 3.35, 2 Tm 3.36
8 Tm 0.8497 0.2850 0.6994  3 Ho 3.13-3.32, 2 Tm 3.36